P:
Mg3ZnPb | PBE | optimized geometry

a b c (Å): 5.0398 5.0398 5.0398
angles (deg): 90.00 90.00 90.00
Space group Pm-3m (No. 221)
Inequivalent atoms, fractional coordinates:
Mg 0.0000 0.0000 0.5000
Zn 0.0000 0.0000 0.0000
Pb 0.5000 0.5000 0.5000

Properties
* magnetization: 0.00 μB per cell
* DOS(E_F): 2.2 states/eV/f.u.

Q:
Mg3ZnPb | PBE | optimized geometry

a b c (Å): 10.3361 4.5832 9.6913
angles (deg): 90.00 99.03 90.00
Space group C2/m (No. 12)
Inequivalent atoms, fractional coordinates:
Mg 0.0360 0.0000 0.3346
Mg 0.0861 0.5000 0.8872
Mg 0.2290 0.5000 0.2043
Zn 0.1184 0.0000 0.0661
Pb 0.1571 0.5000 0.5828

Properties
* magnetization: 0.00 μB per cell
* DOS(E_F): 1.7 states/eV/f.u.

R:
Mg3ZnPb | PBE | optimized geometry

a b c (Å): 6.9857 6.9857 6.9857
angles (deg): 90.00 90.00 90.00
Space group Pm-3m (No. 221)
Inequivalent atoms, fractional coordinates:
Mg 0.0000 0.0000 0.0000
Mg 0.2772 0.2772 0.2772
Zn 0.0000 0.5000 0.5000
Pb 0.0000 0.0000 0.5000

Properties
* magnetization: 0.00 μB per cell
* DOS(E_F): 3.3 states/eV/f.u.

S:
Mg3ZnPb | PBE | optimized geometry

a b c (Å): 5.4896 5.4896 5.4896
angles (deg): 90.00 90.00 90.00
Space group Pm-3m (No. 221)
Inequivalent atoms, fractional coordinates:
Mg 0.0000 0.0000 0.5000
Zn 0.5000 0.5000 0.5000
Pb 0.0000 0.0000 0.0000

Properties
* magnetization: 0.00 μB per cell
* DOS(E_F): 2.8 states/eV/f.u.

Which structure is the most stable? The one labeled Q.

P:
Mg8ZnPb2 | PBE | optimized geometry

a b c (Å): 4.5589 4.5589 12.4949
angles (deg): 90.00 90.00 90.00
Space group P4/mmm (No. 123)
Inequivalent atoms, fractional coordinates:
Mg 0.0000 0.0000 0.1863
Mg 0.0000 0.5000 0.0000
Mg 0.0000 0.5000 0.3735
Zn 0.5000 0.5000 0.5000
Pb 0.5000 0.5000 0.1829

Properties
* magnetization: 0.00 μB per cell
* DOS(E_F): 3.5 states/eV/f.u.

Q:
Mg8ZnPb2 | PBE | optimized geometry

a b c (Å): 16.1046 4.8606 7.0559
angles (deg): 90.00 111.18 90.00
Space group C2/m (No. 12)
Inequivalent atoms, fractional coordinates:
Mg 0.0219 0.0000 0.2884
Mg 0.0899 0.5000 0.9241
Mg 0.1549 0.5000 0.4154
Mg 0.1724 0.0000 0.7225
Zn 0.0000 0.5000 0.5000
Pb 0.1882 0.0000 0.1700

Properties
* magnetization: 0.00 μB per cell
* DOS(E_F): 3.5 states/eV/f.u.

Which structure is the most stable? The one labeled P.

P:
Mg2Zr2Pb | PBE | optimized geometry

a b c (Å): 7.5603 7.5603 4.4350
angles (deg): 90.00 90.00 90.00
Space group P4/mbm (No. 127)
Inequivalent atoms, fractional coordinates:
Mg 0.1549 0.3451 0.0000
Zr 0.1395 0.6395 0.5000
Pb 0.0000 0.0000 0.5000

Properties
* magnetization: 2.74 μB per cell
* DOS(E_F): 5.2 states/eV/f.u.

Q:
Mg2Zr2Pb | PBE | optimized geometry

a b c (Å): 8.1387 8.1387 3.4552
angles (deg): 90.00 90.00 90.00
Space group P4/mbm (No. 127)
Inequivalent atoms, fractional coordinates:
Mg 0.1192 0.3808 0.0000
Zr 0.1775 0.6775 0.5000
Pb 0.0000 0.0000 0.0000

Properties
* magnetization: 0.00 μB per cell
* DOS(E_F): 5.7 states/eV/f.u.

Which structure is the most stable? The one labeled P.

P:
Mg5Pd3 | PBE | optimized geometry

a b c (Å): 7.4004 7.4004 2.9630
angles (deg): 90.00 90.00 120.00
Space group P-62m (No. 189)
Inequivalent atoms, fractional coordinates:
Mg 0.0000 0.7592 0.0000
Mg 0.3333 0.6667 0.0000
Pd 0.0000 0.3743 0.5000

Properties
* magnetization: 0.00 μB per cell
* DOS(E_F): 3.2 states/eV/f.u.

Q:
Mg5Pd3 | PBE | optimized geometry

a b c (Å): 10.3177 10.3177 5.4209
angles (deg): 90.00 90.00 90.00
Space group I4/mcm (No. 140)
Inequivalent atoms, fractional coordinates:
Mg 0.0000 0.5000 0.2500
Mg 0.0771 0.2172 0.0000
Pd 0.0000 0.0000 0.2500
Pd 0.1645 0.3355 0.5000

Properties
* magnetization: 0.00 μB per cell
* DOS(E_F): 3.4 states/eV/f.u.

Which structure is the most stable? The one labeled Q.

P:
Mg2Pd5 | PBE | optimized geometry

a b c (Å): 6.6134 12.2916 5.6376
angles (deg): 90.00 90.00 90.00
Space group Cccm (No. 66)
Inequivalent atoms, fractional coordinates:
Mg 0.1997 0.1084 0.0000
Pd 0.0000 0.2708 0.2500
Pd 0.0000 0.5000 0.2500
Pd 0.2097 0.1152 0.5000

Properties
* magnetization: 0.00 μB per cell
* DOS(E_F): 5.3 states/eV/f.u.

Q:
Mg2Pd5 | PBE | optimized geometry

a b c (Å): 12.5986 4.7728 7.3626
angles (deg): 90.00 94.58 90.00
Space group C2/c (No. 15)
Inequivalent atoms, fractional coordinates:
Mg 0.0793 0.1903 0.1039
Pd 0.0000 0.3083 0.7500
Pd 0.1394 0.3179 0.4599
Pd 0.2141 0.1758 0.8184

Properties
* magnetization: 0.00 μB per cell
* DOS(E_F): 2.9 states/eV/f.u.

Which structure is the most stable? The one labeled Q.

P:
PmMgPd4 | PBE | optimized geometry

a b c (Å): 7.6350 7.6350 7.6350
angles (deg): 90.00 90.00 90.00
Space group F-43m (No. 216)
Inequivalent atoms, fractional coordinates:
Pm 0.0000 0.0000 0.0000
Mg 0.2500 0.2500 0.7500
Pd 0.1244 0.1244 0.3756

Properties
* magnetization: 0.00 μB per cell
* DOS(E_F): 3.7 states/eV/f.u.

Q:
PmMgPd4 | PBE | optimized geometry

a b c (Å): 9.5939 3.7762 6.3619
angles (deg): 90.00 110.00 90.00
Space group C2/m (No. 12)
Inequivalent atoms, fractional coordinates:
Pm 0.0000 0.0000 0.0000
Mg 0.0000 0.0000 0.5000
Pd 0.1611 0.5000 0.3527
Pd 0.1688 0.5000 0.8095

Properties
* magnetization: 0.00 μB per cell
* DOS(E_F): 2.4 states/eV/f.u.

Which structure is the most stable? The one labeled P.

P:
PmMgPd | PBE | optimized geometry

a b c (Å): 7.2919 4.3207 8.7094
angles (deg): 90.00 90.00 90.00
Space group Pnma (No. 62)
Inequivalent atoms, fractional coordinates:
Pm 0.0415 0.2500 0.1810
Mg 0.1347 0.2500 0.5604
Pd 0.2489 0.7500 0.3790

Properties
* magnetization: 0.00 μB per cell
* DOS(E_F): 2.2 states/eV/f.u.

Q:
PmMgPd | PBE | optimized geometry

a b c (Å): 6.7774 6.7774 6.7774
angles (deg): 90.00 90.00 90.00
Space group F-43m (No. 216)
Inequivalent atoms, fractional coordinates:
Pm 0.0000 0.0000 0.0000
Mg 0.0000 0.0000 0.5000
Pd 0.2500 0.2500 0.7500

Properties
* magnetization: 0.00 μB per cell
* DOS(E_F): 2.4 states/eV/f.u.

Which structure is the most stable? The one labeled P.

P:
Pm2Mg3Pd2 | PBE | optimized geometry

a b c (Å): 10.3636 4.3776 7.6754
angles (deg): 90.00 112.83 90.00
Space group C2/m (No. 12)
Inequivalent atoms, fractional coordinates:
Pm 0.1421 0.0000 0.2835
Mg 0.0000 0.5000 0.5000
Mg 0.1341 0.5000 0.9402
Pd 0.1464 0.0000 0.7012

Properties
* magnetization: 0.00 μB per cell
* DOS(E_F): 4.2 states/eV/f.u.

Q:
Pm2Mg3Pd2 | PBE | optimized geometry

a b c (Å): 10.5914 4.0833 7.6543
angles (deg): 90.00 95.95 90.00
Space group C2/m (No. 12)
Inequivalent atoms, fractional coordinates:
Pm 0.1248 0.0000 0.3536
Mg 0.0000 0.5000 0.0000
Mg 0.1829 0.0000 0.8652
Pd 0.0916 0.5000 0.6502

Properties
* magnetization: 0.00 μB per cell
* DOS(E_F): 3.8 states/eV/f.u.

Which structure is the most stable? The one labeled P.

P:
Pm3Mg2Pd4 | PBE | optimized geometry

a b c (Å): 10.2603 4.3488 9.1571
angles (deg): 90.00 94.97 90.00
Space group C2/m (No. 12)
Inequivalent atoms, fractional coordinates:
Pm 0.0000 0.0000 0.0000
Pm 0.1264 0.5000 0.3843
Mg 0.1749 0.5000 0.7891
Pd 0.0843 0.0000 0.6299
Pd 0.2097 0.5000 0.0884

Properties
* magnetization: 0.00 μB per cell
* DOS(E_F): 4.8 states/eV/f.u.

Q:
Pm3Mg2Pd4 | PBE | optimized geometry

a b c (Å): 11.9875 4.2535 9.0206
angles (deg): 90.00 117.71 90.00
Space group C2/m (No. 12)
Inequivalent atoms, fractional coordinates:
Pm 0.0000 0.0000 0.0000
Pm 0.1328 0.5000 0.7046
Mg 0.1742 0.5000 0.3462
Pd 0.0718 0.0000 0.4130
Pd 0.2055 0.5000 0.0664

Properties
* magnetization: 0.00 μB per cell
* DOS(E_F): 5.2 states/eV/f.u.

Which structure is the most stable? The one labeled P.

P:
Pm2MgPd | PBE | optimized geometry

a b c (Å): 3.7204 3.7204 7.5314
angles (deg): 90.00 90.00 90.00
Space group P4/mmm (No. 123)
Inequivalent atoms, fractional coordinates:
Pm 0.0000 0.0000 0.2240
Mg 0.5000 0.5000 0.5000
Pd 0.5000 0.5000 0.0000

Properties
* magnetization: 0.00 μB per cell
* DOS(E_F): 3.7 states/eV/f.u.

Q:
Pm2MgPd | PBE | optimized geometry

a b c (Å): 7.4465 7.4465 7.4465
angles (deg): 90.00 90.00 90.00
Space group Fm-3m (No. 225)
Inequivalent atoms, fractional coordinates:
Pm 0.2500 0.2500 0.2500
Mg 0.0000 0.0000 0.0000
Pd 0.0000 0.0000 0.5000

Properties
* magnetization: 0.00 μB per cell
* DOS(E_F): 3.6 states/eV/f.u.

Which structure is the most stable? The one labeled P.